Density functional theory data (PBE+U) for crystalline NiPRu2F at its relaxed geometry.

## Properties
Volume (Å³ per cell): 78
Polymorph energy (0 for the lowest one) (eV per formula unit): 0.00

Geometry as POSCAR:
```
NiPRu2F
1.0
4.4519 0.0000 0.0000
0.0000 4.4519 0.0000
0.0000 0.0000 3.9357
Ni P Ru F
1 1 2 1
Direct
0.0000 0.0000 0.0000
0.5000 0.5000 0.5000
0.0000 0.5000 0.5000
0.5000 0.0000 0.5000
0.5000 0.5000 0.0000
```